HfThSc | the Alexandria database | PBE | relaxed; offset from the most stable computed form = 0.007 eV per atom; total magnetization = 0.0 μB per cell; volume = 26.034 Å³ per atom; space-group type = Pmmn; Fermi-level density of states = 4.820 states/eV/f.u.
1.0
3.3873 0.0000 0.0000
0.0000 4.5981 0.0000
0.0000 0.0000 10.0291
Hf Th Sc
2 2 2
Cartesian
0.8468 1.1495 0.7603
2.5405 3.4486 9.2688
0.8468 1.1495 4.1293
2.5405 3.4486 5.8998
0.8468 1.1495 7.7379
2.5405 3.4486 2.2912



Sm2Ge3Ir | the Alexandria database | PBE | relaxed; offset from the most stable computed form = 0.000 eV per atom; total magnetization = 0.0 μB per cell; volume = 21.666 Å³ per atom; space-group type = Fmmm; Fermi-level density of states = 2.132 states/eV/f.u.
1.0
0.0000 4.2589 7.3489
4.1534 0.0000 7.3489
4.1534 4.2589 0.0000
Sm Ge Ir
4 6 2
Cartesian
6.2693 4.2589 7.3489
2.0767 2.1295 3.6745
6.2300 6.3884 11.0234
2.0374 4.2589 7.3489
4.1534 2.1168 6.1053
4.1534 4.2589 4.8594
4.1534 2.1168 8.5926
4.1534 6.4011 6.1053
4.1534 4.2589 9.8385
4.1534 6.4011 8.5926
4.1534 4.2589 2.4355
4.1534 4.2589 12.2624



MnGaCoRuS | the Alexandria database | PBE | relaxed; offset from the most stable computed form = 0.024 eV per atom; total magnetization = 3.5 μB per cell; energy relative to the elements, uncorrected = -0.21 eV per atom; volume = 14.718 Å³ per atom; space-group type = Pmm2; Fermi-level density of states = 3.814 states/eV/f.u.
1.0
3.4809 0.0000 0.0000
0.0000 3.6370 0.0000
0.0000 0.0000 5.8127
Mn Ga Co Ru S
1 1 1 1 1
Cartesian
0.0000 0.0000 0.0000
1.7404 0.0000 1.9672
1.7404 1.8185 0.0216
0.0000 1.8185 2.0642
0.0000 1.8185 4.4081



Y4Cu3 | the Alexandria database | PBE | relaxed; offset from the most stable computed form = 0.152 eV per atom; total magnetization = 0.0 μB per cell; volume = 22.293 Å³ per atom; space-group type = P6/mmm; Fermi-level density of states = 6.787 states/eV/f.u.
1.0
5.4598 0.0000 0.0000
-2.7299 4.7283 0.0000
0.0000 0.0000 6.0449
Y Cu
4 3
Cartesian
0.0000 0.0000 1.4610
0.0000 0.0000 4.5839
0.0000 3.1522 3.0224
2.7299 1.5761 3.0224
-1.3650 2.3642 0.0000
2.7299 0.0000 0.0000
1.3650 2.3642 0.0000



BaSrLa2Rh | the Alexandria database | PBE | relaxed; offset from the most stable computed form = 1.612 eV per atom; total magnetization = 0.0 μB per cell; volume = 39.006 Å³ per atom; space-group type = P4/mmm; Fermi-level density of states = 7.041 states/eV/f.u.
1.0
5.7241 0.0000 0.0000
0.0000 5.7241 0.0000
0.0000 0.0000 5.9523
Ba Sr La Rh
1 1 2 1
Cartesian
0.0000 0.0000 0.0000
0.0000 0.0000 2.9761
0.0000 2.8620 2.9761
2.8620 0.0000 2.9761
2.8620 2.8620 0.0000



Nd2HoZr | the Alexandria database | PBE | relaxed; offset from the most stable computed form = 0.186 eV per atom; total magnetization = 0.0 μB per cell; volume = 30.707 Å³ per atom; space-group type = R-3m; Fermi-level density of states = 5.029 states/eV/f.u.
1.0
1.7075 0.9858 12.1619
-1.7075 0.9858 12.1619
0.0000 -1.9716 12.1619
Nd Ho Zr
2 1 1
Cartesian
0.0000 0.0000 3.1288
0.0000 0.0000 33.3570
0.0000 0.0000 18.2429
0.0000 0.0000 0.0000



K2Tl2CrCl6 | the Alexandria database | PBE | relaxed; total magnetization = 4.0 μB per cell; energy relative to the elements, uncorrected = -1.32 eV per atom; volume = 32.620 Å³ per atom; space-group type = C2/m
1.0
3.9020 -6.2752 0.0000
3.9020 6.2752 0.0000
-2.4087 0.0000 7.3272
K Tl Cr Cl
2 2 1 6
Cartesian
3.9020 4.2989 0.0000
3.9020 -4.2989 0.0000
2.6976 2.1268 3.6636
2.6976 -2.1268 3.6636
3.9020 0.0000 0.0000
0.4607 1.6956 5.9536
1.5295 0.0000 1.8962
0.4607 -1.6956 5.9536
4.9345 1.6956 1.3736
3.8658 0.0000 5.4311
4.9345 -1.6956 1.3736



TmMnFeGe3 | the Alexandria database | PBE | relaxed; raw total energy = -6.09 eV/atom; total magnetization = 0.0 μB per cell; volume = 17.959 Å³ per atom; space-group type = Cmcm; Fermi-level density of states = 2.870 states/eV/f.u.
1.0
2.7757 -5.2877 0.0000
2.7757 5.2877 0.0000
0.0000 0.0000 7.3417
Tm Mn Fe Ge
2 2 2 6
Cartesian
2.7757 2.7913 5.5063
2.7757 -2.7913 1.8354
2.7757 4.4677 1.8354
2.7757 -4.4677 5.5063
2.7757 0.0653 1.8354
2.7757 -0.0653 5.5063
1.3314 0.0000 0.0000
1.3314 0.0000 3.6709
2.7757 2.2760 1.8354
2.7757 -2.2760 5.5063
4.2200 0.0000 0.0000
4.2200 0.0000 3.6709